This record from Alexandria describes crystalline TlIn2Ga at its relaxed geometry. The functional is PBE-GGA.

```
TlIn2Ga
1.0
3.258 0.000 0.000
-1.629 2.822 0.000
0.000 0.000 11.500
Tl In Ga
1 2 1
Direct
0.000 0.000 0.000
0.000 0.000 0.717
0.667 0.333 0.265
0.333 0.667 0.492
```

N(E_F) = 0.44 states/eV per atom
E_form = 0.071 eV per atom
Space group = No. 156